*A*
The following is a GGA-PBE calculation of a geometry-optimized GdThRh structure, from the Alexandria database.

Values from the calculation:
The calculation puts the magnetization at 7.70 μB per cell. For the mass density, the calculation gives 10.76 g/cm3. Its space-group type is I4mm.

a b c (Å): 6.293 6.293 6.293
angles (deg): 146.42 146.42 48.22
Fractional coordinates of all 3 atoms:
Gd: 0.000 0.000 0.000
Th: 0.290 0.290 0.000
Rh: 0.669 0.669 0.000


*B*
The following is a GGA-PBE calculation of a geometry-optimized GdThRh structure, from the Alexandria database.

Values from the calculation:
The calculation puts the magnetization at 7.10 μB per cell. For the mass density, the calculation gives 10.68 g/cm3. Its space-group type is P3m1.

a b c (Å): 4.668 4.668 4.054
angles (deg): 90.00 90.00 120.00
Fractional coordinates of all 3 atoms:
Gd: 0.000 0.000 0.000
Th: 0.333 0.667 0.442
Rh: 0.667 0.333 0.712


*A* is favored, and the nearest alternative lies 15.3 kJ/mol of atoms above it.